Entry 1:
Material: Cs3VBr6
Method: DFT, PBE-GGA
State: relaxed

Lattice parameters (Å, degrees): 9.571 9.571 9.571 87.98 87.98 87.98
Fractional positions:
Cs: 0.102 0.750 0.398
Cs: 0.250 0.602 0.898
Cs: 0.398 0.102 0.750
Cs: 0.602 0.898 0.250
Cs: 0.750 0.398 0.102
Cs: 0.898 0.250 0.602
V: 0.000 0.000 0.000
V: 0.500 0.500 0.500
Br: 0.064 0.925 0.748
Br: 0.075 0.252 0.936
Br: 0.248 0.425 0.564
Br: 0.252 0.936 0.075
Br: 0.425 0.564 0.248
Br: 0.436 0.752 0.575
Br: 0.564 0.248 0.425
Br: 0.575 0.436 0.752
Br: 0.748 0.064 0.925
Br: 0.752 0.575 0.436
Br: 0.925 0.748 0.064
Br: 0.936 0.075 0.252

Properties
SG: R-3c, No. 167
Crystal system: trigonal
Formation energy without anion corrections in kcal/mol of atoms: -33.12

Entry 2:
Material: CsVBr3
Method: DFT, PBE-GGA
State: relaxed

Lattice parameters (Å, degrees): 7.739 7.739 6.558 90.00 90.00 120.00
Fractional positions:
Cs: 0.333 0.667 0.250
Cs: 0.667 0.333 0.750
V: 0.000 0.000 0.000
V: 0.000 0.000 0.500
Br: 0.156 0.311 0.750
Br: 0.156 0.844 0.750
Br: 0.311 0.156 0.250
Br: 0.689 0.844 0.750
Br: 0.844 0.156 0.250
Br: 0.844 0.689 0.250

Properties
SG: P6_3/mmc, No. 194
Crystal system: hexagonal
Formation energy without anion corrections in kcal/mol of atoms: -28.58

Entry 3:
Material: Cs3V2Br7
Method: DFT, PBE-GGA
State: relaxed

Lattice parameters (Å, degrees): 14.797 14.797 14.797 159.02 159.02 29.84
Fractional positions:
Cs: 0.000 0.000 0.000
Cs: 0.182 0.182 0.000
Cs: 0.818 0.818 0.000
V: 0.404 0.404 0.000
V: 0.596 0.596 0.000
Br: 0.093 0.593 0.500
Br: 0.312 0.312 0.000
Br: 0.407 0.907 0.500
Br: 0.500 0.500 0.000
Br: 0.593 0.093 0.500
Br: 0.688 0.688 0.000
Br: 0.907 0.407 0.500

Properties
SG: I4/mmm, No. 139
Crystal system: tetragonal
Formation energy without anion corrections in kcal/mol of atoms: -29.13

Entry 4:
Material: CsVBr3
Method: DFT, PBE-GGA
State: relaxed

Lattice parameters (Å, degrees): 5.380 5.380 5.380 90.00 90.00 90.00
Fractional positions:
Cs: 0.000 0.000 0.000
V: 0.500 0.500 0.500
Br: 0.000 0.500 0.500
Br: 0.500 0.000 0.500
Br: 0.500 0.500 0.000

Properties
SG: Pm-3m, No. 221
Crystal system: cubic
Formation energy without anion corrections in kcal/mol of atoms: -26.12

Entry 5:
Material: Cs3V2Br8
Method: DFT, PBE-GGA
State: relaxed

Lattice parameters (Å, degrees): 7.768 7.807 11.092 88.91 69.61 60.22
Fractional positions:
Cs: 0.000 0.000 0.000
Cs: 0.412 0.796 0.378
Cs: 0.588 0.204 0.622
V: 0.185 0.413 0.216
V: 0.815 0.587 0.784
Br: 0.044 0.725 0.694
Br: 0.045 0.227 0.687
Br: 0.359 0.308 0.978
Br: 0.466 0.272 0.303
Br: 0.534 0.728 0.697
Br: 0.641 0.692 0.022
Br: 0.955 0.773 0.313
Br: 0.956 0.275 0.306

Properties
SG: P-1, No. 2
Crystal system: triclinic
Formation energy without anion corrections in kcal/mol of atoms: -28.59

Entry 6:
Material: CsV2Br
Method: DFT, PBE-GGA
State: relaxed

Lattice parameters (Å, degrees): 5.484 5.484 5.484 60.00 60.00 60.00
Fractional positions:
Cs: 0.000 0.000 0.000
V: 0.250 0.250 0.250
V: 0.750 0.750 0.750
Br: 0.500 0.500 0.500

Properties
SG: Fm-3m, No. 225
Crystal system: cubic
Formation energy without anion corrections in kcal/mol of atoms: 31.97